Here is Ba2NaAgRh after structural relaxation from Alexandria. Energies are from GGA-PBE.

Cell: 5.922 5.922 5.361 Å, 90.00 90.00 90.00°
Space group P4/mmm (No. 123)
Unique sites:
Ba 0.000 0.500 0.000 (multiplicity 2)
Na 0.000 0.000 0.500 (multiplicity 1)
Ag 0.500 0.500 0.500 (multiplicity 1)
Rh 0.500 0.500 0.000 (multiplicity 1)

Summary:
Polymorph energy (0 for the lowest one), meV/atom: 0
ΔE_f, eV per atom: -0.027
Spin magnetization, μB per formula unit: 0.00



Here is NdSm6Y3Tm2 after structural relaxation from Alexandria. Energies are from GGA-PBE.

Cell: 6.234 10.793 11.873 Å, 90.00 100.05 90.00°
Space group C2/m (No. 12)
Unique sites:
Nd 0.000 0.000 0.000 (multiplicity 2)
Sm 0.249 0.333 0.750 (multiplicity 8)
Sm 0.249 0.500 0.249 (multiplicity 4)
Y 0.000 0.167 0.500 (multiplicity 4)
Y 0.000 0.500 0.500 (multiplicity 2)
Tm 0.000 0.333 0.000 (multiplicity 4)

Summary:
ΔE_f, eV per atom: 0.016
Spin magnetization, μB per formula unit: 0.00



Here is GdPuTlPd after structural relaxation from Alexandria. Energies are from GGA-PBE.

Cell: 7.396 7.396 7.396 Å, 90.00 90.00 90.00°
Space group F-43m (No. 216)
Unique sites:
Gd 0.000 0.000 0.000 (multiplicity 4)
Pu 0.000 0.000 0.500 (multiplicity 4)
Tl 0.250 0.250 0.750 (multiplicity 4)
Pd 0.250 0.250 0.250 (multiplicity 4)

Summary:
ΔE_f, eV per atom: -0.282
Spin magnetization, μB per formula unit: 12.81



Here is TaZnBr2 after structural relaxation from Alexandria. Energies are from GGA-PBE.

Cell: 3.368 3.368 8.107 Å, 90.00 90.00 90.00°
Space group P4mm (No. 99)
Unique sites:
Ta 0.000 0.000 0.000 (multiplicity 1)
Zn 0.500 0.500 0.164 (multiplicity 1)
Br 0.000 0.000 0.348 (multiplicity 1)
Br 0.500 0.500 0.784 (multiplicity 1)

Summary:
Polymorph energy (0 for the lowest one), meV/atom: 195
Formation energy from raw total energies, eV/atom: 0.018
Spin magnetization, μB per formula unit: 0.00



Here is Pr2TlB2Rh5 after structural relaxation from Alexandria. Energies are from GGA-PBE.

Cell: 9.894 9.894 3.303 Å, 90.00 90.00 90.00°
Space group P4/mbm (No. 127)
Unique sites:
Pr 0.177 0.323 0.000 (multiplicity 4)
Tl 0.000 0.000 0.000 (multiplicity 2)
B 0.119 0.619 0.000 (multiplicity 4)
Rh 0.000 0.500 0.500 (multiplicity 2)
Rh 0.070 0.767 0.500 (multiplicity 8)

Summary:
ΔE_f, eV per atom: -0.559
Spin magnetization, μB per formula unit: 0.00



Here is AlFe2S after structural relaxation from Alexandria. Energies are from GGA-PBE.

Cell: 6.472 6.472 5.042 Å, 90.00 90.00 90.00°
Space group I-42d (No. 122)
Unique sites:
Al 0.000 0.000 0.000 (multiplicity 4)
Fe 0.169 0.250 0.625 (multiplicity 8)
S 0.000 0.000 0.500 (multiplicity 4)

Summary:
Polymorph energy (0 for the lowest one), meV/atom: 0
Formation energy from raw total energies, eV/atom: 0.110
Spin magnetization, μB per formula unit: 0.97



Here is GeOsN3 after structural relaxation from Alexandria. Energies are from GGA-PBE.

Cell: 3.879 3.879 3.879 Å, 90.00 90.00 90.00°
Space group Pm-3m (No. 221)
Unique sites:
Ge 0.000 0.000 0.000 (multiplicity 1)
Os 0.500 0.500 0.500 (multiplicity 1)
N 0.000 0.500 0.500 (multiplicity 3)

Summary:
Formation energy from raw total energies, eV/atom: 1.046
Spin magnetization, μB per formula unit: 0.00



Here is BaNi2Cl after structural relaxation from Alexandria. Energies are from GGA-PBE.

Cell: 5.016 5.016 7.081 Å, 90.00 90.00 90.00°
Space group I-4m2 (No. 119)
Unique sites:
Ba 0.000 0.000 0.000 (multiplicity 2)
Ni 0.000 0.000 0.500 (multiplicity 2)
Ni 0.000 0.500 0.750 (multiplicity 2)
Cl 0.000 0.500 0.250 (multiplicity 2)

Summary:
Polymorph energy (0 for the lowest one), meV/atom: 464
Formation energy from raw total energies, eV/atom: 0.179
Spin magnetization, μB per formula unit: 1.02



Here is Tb5Tl after structural relaxation from Alexandria. Energies are from GGA-PBE.

Cell: 5.655 11.158 5.715 Å, 90.00 90.00 90.00°
Space group Cmmm (No. 65)
Unique sites:
Tb 0.000 0.000 0.000 (multiplicity 2)
Tb 0.000 0.159 0.500 (multiplicity 4)
Tb 0.000 0.340 0.000 (multiplicity 4)
Tl 0.000 0.500 0.500 (multiplicity 2)

Summary:
Polymorph energy (0 for the lowest one), meV/atom: 87
ΔE_f, eV per atom: -0.021
Spin magnetization, μB per formula unit: 0.00



Here is FeAgPd2N after structural relaxation from Alexandria. Energies are from GGA-PBE.

Cell: 4.304 4.304 3.733 Å, 90.00 90.00 90.00°
Space group P4/mmm (No. 123)
Unique sites:
Fe 0.000 0.000 0.000 (multiplicity 1)
Ag 0.500 0.500 0.000 (multiplicity 1)
Pd 0.000 0.500 0.500 (multiplicity 2)
N 0.000 0.000 0.500 (multiplicity 1)

Summary:
Formation energy from raw total energies, eV/atom: 0.114
Spin magnetization, μB per formula unit: 2.82



Here is La2RhO after structural relaxation from Alexandria. Energies are from GGA-PBE.

Cell: 6.005 6.005 11.776 Å, 90.00 90.00 90.00°
Space group I-42d (No. 122)
Unique sites:
La 0.199 0.250 0.125 (multiplicity 8)
Rh 0.000 0.000 0.500 (multiplicity 4)
O 0.000 0.000 0.000 (multiplicity 4)

Summary:
Formation energy from raw total energies, eV/atom: -1.572
Spin magnetization, μB per formula unit: 0.00



Here is Sc2VGe2 after structural relaxation from Alexandria. Energies are from GGA-PBE.

Cell: 6.789 6.789 3.957 Å, 90.00 90.00 90.00°
Space group P4/mbm (No. 127)
Unique sites:
Sc 0.173 0.327 0.000 (multiplicity 4)
V 0.000 0.000 0.500 (multiplicity 2)
Ge 0.134 0.634 0.500 (multiplicity 4)

Summary:
Polymorph energy (0 for the lowest one), meV/atom: 0
ΔE_f, eV per atom: -0.621
Spin magnetization, μB per formula unit: 2.07



Copy entry 1 word for word.
Here is Ba2NaAgRh after structural relaxation from Alexandria. Energies are from GGA-PBE.

Cell: 5.922 5.922 5.361 Å, 90.00 90.00 90.00°
Space group P4/mmm (No. 123)
Unique sites:
Ba 0.000 0.500 0.000 (multiplicity 2)
Na 0.000 0.000 0.500 (multiplicity 1)
Ag 0.500 0.500 0.500 (multiplicity 1)
Rh 0.500 0.500 0.000 (multiplicity 1)

Summary:
Polymorph energy (0 for the lowest one), meV/atom: 0
ΔE_f, eV per atom: -0.027
Spin magnetization, μB per formula unit: 0.00



Please write out number 10 again, unchanged.
Here is FeAgPd2N after structural relaxation from Alexandria. Energies are from GGA-PBE.

Cell: 4.304 4.304 3.733 Å, 90.00 90.00 90.00°
Space group P4/mmm (No. 123)
Unique sites:
Fe 0.000 0.000 0.000 (multiplicity 1)
Ag 0.500 0.500 0.000 (multiplicity 1)
Pd 0.000 0.500 0.500 (multiplicity 2)
N 0.000 0.000 0.500 (multiplicity 1)

Summary:
Formation energy from raw total energies, eV/atom: 0.114
Spin magnetization, μB per formula unit: 2.82